1.
VASP calculation (PBE-GGA) on an optimized crystal structure of TlTe3.

## Properties
Its symmetry is Fm-3m (225). As for the uncorrected formation energy: 0.18 eV per atom. The crystal system is cubic. Its magnetization is 0.00 μB per formula unit. Its density is 8.24 Mg/m³.

a b c (Å): 5.5103 5.5103 5.5103
angles (deg): 60.00 60.00 60.00
Closest atoms and distances in Å follow each position.
Positions (direct):
Te 0.5000 0.5000 0.5000  4 Te 3.37, 4 Tl 3.37
Te 0.0000 0.0000 0.0000  4 Tl 3.37, 4 Te 3.37
Te 0.2500 0.2500 0.2500  8 Te 3.37
Tl 0.7500 0.7500 0.7500  8 Te 3.37



2.
VASP calculation (PBE-GGA) on an optimized crystal structure of Li2Cd5Rh2.

## Properties
Its symmetry is Amm2 (38). The crystal system is orthorhombic. Its magnetization is 0.00 μB per formula unit. The value obtained for the formation energy is -140 meV per atom. Its density is 8.02 Mg/m³.

a b c (Å): 4.7031 8.1491 9.6717
angles (deg): 114.92 104.07 90.00
Closest atoms and distances in Å follow each position.
Positions (direct):
Cd 0.0833 0.2875 0.1668  3 Rh 2.71-2.72, 1 Li 2.82, 4 Cd 2.82-3.01
Cd 0.3400 0.2105 0.6799  1 Li 2.71, 3 Cd 3.01, 3 Rh 3.01-3.02
Cd 0.1601 0.0306 0.3201  1 Li 2.71, 3 Cd 3.01, 3 Rh 3.01-3.02
Cd 0.6600 0.5306 0.3201  1 Li 2.71, 3 Cd 3.01, 3 Rh 3.01-3.02
Cd 0.7501 0.2871 0.5000  3 Li 2.71-2.72, 2 Rh 2.83
Cd 0.5835 0.7875 0.1668  3 Rh 2.71-2.72, 1 Li 2.82, 4 Cd 2.82-3.01
Cd 0.2499 0.7871 0.5000  3 Li 2.71-2.72, 2 Rh 2.83
Cd 0.9167 0.1207 0.8332  3 Rh 2.71-2.72, 1 Li 2.82, 4 Cd 2.82-3.01
Cd 0.4165 0.6207 0.8332  3 Rh 2.71-2.72, 1 Li 2.82, 4 Cd 2.82-3.01
Cd 0.8399 0.7105 0.6799  1 Li 2.71, 3 Cd 3.01, 3 Rh 3.01-3.02
Rh 0.9171 0.4548 0.8344  7 Cd 2.71-3.02, 1 Rh 2.80
Rh 0.4173 0.9548 0.8344  7 Cd 2.71-3.02, 1 Rh 2.80
Rh 0.5827 0.1204 0.1656  7 Cd 2.71-3.02, 1 Rh 2.80
Rh 0.0829 0.6204 0.1656  7 Cd 2.71-3.02, 1 Rh 2.80
Li 0.7498 0.9533 0.5000  5 Cd 2.71-2.82
Li 0.5000 0.3711 0.0000  2 Cd 2.71
Li 0.2502 0.4533 0.5000  5 Cd 2.71-2.82
Li 0.0000 0.8711 0.0000  2 Cd 2.71



3.
VASP calculation (PBE-GGA) on an optimized crystal structure of ThCd3Ni8.

## Properties
Its symmetry is R3m (160). The crystal system is trigonal. Its magnetization is 0.00 μB per formula unit. The value obtained for the formation energy is -159 meV per atom. Its density is 9.83 Mg/m³.

a b c (Å): 4.9730 4.9730 8.6842
angles (deg): 73.36 73.36 60.00
Closest atoms and distances in Å follow each position.
Positions (direct):
Cd 0.0067 0.0067 0.9800  12 Ni 2.79-2.99, 3 Cd 2.97
Cd 0.4887 0.4887 0.5340  9 Ni 2.79-2.98, 1 Cd 2.88
Cd 0.3713 0.3713 0.8860  12 Ni 2.82-2.97, 4 Cd 2.88-2.97
Ni 0.4355 0.9384 0.6877  6 Ni 2.47-2.51
Ni 0.9384 0.9384 0.6877  6 Ni 2.47-2.51
Ni 0.4397 0.9383 0.1822  6 Ni 2.48-2.53
Ni 0.6881 0.6881 0.9356  6 Ni 2.48-2.49
Ni 0.9383 0.4397 0.1822  6 Ni 2.48-2.53
Ni 0.4397 0.4397 0.1822  6 Ni 2.48-2.53
Ni 0.1880 0.1880 0.4360  6 Ni 2.51-2.53
Ni 0.9384 0.4355 0.6877  6 Ni 2.47-2.51
Th 0.8771 0.8771 0.3687  12 Ni 2.92-2.99, 4 Cd 3.17-3.19



4.
VASP calculation (PBE-GGA) on an optimized crystal structure of Pu2GePd2.

## Properties
Its symmetry is C2/m (12). The crystal system is monoclinic. Its magnetization is 5.64 μB per formula unit. The value obtained for the formation energy is -310 meV per atom. Its density is 13.04 Mg/m³.

a b c (Å): 3.5356 5.7028 11.0332
angles (deg): 105.11 80.78 71.94
Closest atoms and distances in Å follow each position.
Positions (direct):
Pu 0.8388 0.3506 0.9717  2 Pu 2.34
Pu 0.3276 0.6982 0.6465  7 Pd 2.86-3.18, 1 Ge 3.08
Pu 0.6724 0.3018 0.3535  7 Pd 2.86-3.18, 1 Ge 3.08
Pu 0.1612 0.6494 0.0283  2 Pu 2.34
Pd 0.3673 0.1302 0.1352  1 Ge 2.66, 1 Pd 2.81, 2 Pu 2.86
Pd 0.6327 0.8698 0.8648  1 Ge 2.66, 1 Pd 2.81, 2 Pu 2.86
Pd 0.1137 0.1979 0.5747  2 Ge 2.53
Pd 0.8863 0.8021 0.4253  2 Ge 2.53
Ge 0.5143 0.2263 0.7451  3 Pd 2.53-2.66
Ge 0.4857 0.7737 0.2549  3 Pd 2.53-2.66



Number 1: DFT total energy -11.1 eV per cell. Number 2: DFT total energy -48.7 eV per cell. Number 3: DFT total energy -58.3 eV per cell. Number 4: DFT total energy -90.4 eV per cell.